Entry 1:
Al3TcCl, optimized geometry, DFT PBEsol; energy = -4.059 eV per atom; ΔE_f (raw) = 1051 meV/atom
1.0
4.509 0.000 0.000
0.000 4.509 0.000
0.000 0.000 4.509
Al Tc Cl
3 1 1
Cartesian
0.000 0.000 2.254 Al
0.000 2.254 0.000 Al
2.254 0.000 0.000 Al
2.254 2.254 2.254 Tc
0.000 0.000 0.000 Cl


Entry 2:
AlTcCl2, optimized geometry, DFT PBEsol; energy = -4.749 eV per atom; ΔE_f (raw) = 95 meV/atom; excess energy over the best structure of this formula in the dataset = 0 meV/atom
1.0
1.448 -2.716 0.000
1.448 2.716 0.000
0.000 0.000 8.854
Al Tc Cl
1 1 2
Cartesian
0.000 0.000 0.000 Al
0.000 0.000 4.427 Tc
1.448 0.000 2.542 Cl
1.448 0.000 6.311 Cl


Entry 3:
AlTcCl2, optimized geometry, DFT PBEsol; energy = -4.250 eV per atom; ΔE_f (raw) = 593 meV/atom; excess energy over the best structure of this formula in the dataset = 498 meV/atom
1.0
3.088 -3.861 0.000
3.088 3.861 0.000
0.000 0.000 3.147
Al Tc Cl
1 1 2
Cartesian
0.000 0.000 0.000 Al
3.088 0.000 0.000 Tc
1.544 1.931 1.574 Cl
1.544 -1.931 1.574 Cl


Entry 4:
AlTcCl2, optimized geometry, DFT PBEsol; energy = -4.334 eV per atom; ΔE_f (raw) = 509 meV/atom; excess energy over the best structure of this formula in the dataset = 415 meV/atom
1.0
0.000 3.187 3.187
3.187 0.000 3.187
3.187 3.187 0.000
Al Tc Cl
1 1 2
Cartesian
0.000 0.000 0.000 Al
3.187 3.187 3.187 Tc
1.593 1.593 1.593 Cl
4.780 4.780 4.780 Cl


Entry 5:
AlTc2Cl, optimized geometry, DFT PBEsol; energy = -6.732 eV per atom; ΔE_f (raw) = 426 meV/atom; excess energy over the best structure of this formula in the dataset = 214 meV/atom
1.0
4.318 0.000 0.000
0.000 4.318 0.000
0.000 0.000 2.923
Al Tc Cl
1 2 1
Cartesian
0.000 0.000 0.000 Al
0.000 2.159 1.461 Tc
2.159 0.000 1.461 Tc
2.159 2.159 0.000 Cl


Entry 6:
AlTc2Cl, optimized geometry, DFT PBEsol; energy = -6.946 eV per atom; ΔE_f (raw) = 212 meV/atom; excess energy over the best structure of this formula in the dataset = 0 meV/atom
1.0
1.488 -2.419 0.000
1.488 2.419 0.000
0.000 0.000 8.301
Al Tc Cl
1 2 1
Cartesian
0.000 0.000 0.000 Al
0.000 0.000 4.237 Tc
1.488 0.000 6.240 Tc
1.488 0.000 1.948 Cl


Entry 7:
AlTc2Cl, optimized geometry, DFT PBEsol; energy = -6.577 eV per atom; ΔE_f (raw) = 581 meV/atom; excess energy over the best structure of this formula in the dataset = 369 meV/atom
1.0
0.000 3.028 3.028
3.028 0.000 3.028
3.028 3.028 0.000
Al Tc Cl
1 2 1
Cartesian
0.000 0.000 0.000 Al
1.514 1.514 1.514 Tc
4.542 4.542 4.542 Tc
3.028 3.028 3.028 Cl


Entry 8:
AlTeCl2, optimized geometry, DFT PBEsol; energy = -2.913 eV per atom; ΔE_f (raw) = -5 meV/atom; excess energy over the best structure of this formula in the dataset = 6 meV/atom
1.0
-2.153 2.153 4.558
2.153 -2.153 4.558
2.153 2.153 -4.558
Al Te Cl
1 1 2
Cartesian
0.000 0.000 0.000 Al
0.000 0.000 4.558 Te
2.153 0.000 2.279 Cl
0.000 2.153 2.279 Cl


- Which formula does entry 2 have?
  AlTcCl2


Repeat the sixth record exactly.
AlTc2Cl, optimized geometry, DFT PBEsol; energy = -6.946 eV per atom; ΔE_f (raw) = 212 meV/atom; excess energy over the best structure of this formula in the dataset = 0 meV/atom
1.0
1.488 -2.419 0.000
1.488 2.419 0.000
0.000 0.000 8.301
Al Tc Cl
1 2 1
Cartesian
0.000 0.000 0.000 Al
0.000 0.000 4.237 Tc
1.488 0.000 6.240 Tc
1.488 0.000 1.948 Cl


- ΔE_f (raw) of number 4 (AlTcCl2)?
  509 meV/atom